Record 1
Compound: MnMoP2
Source: Alexandria
Functional: GGA-PBE
Structure: relaxed

```
data_MnMoP2
_cell_length_a 2.919
_cell_length_b 2.919
_cell_length_c 5.772
_cell_angle_alpha 90.00
_cell_angle_beta 90.00
_cell_angle_gamma 90.00
_symmetry_space_group_name_H-M 'P 4/m m m'
_symmetry_Int_Tables_number 123
_symmetry_space_group_name_Hall '-P 4 2'
loop_
_atom_site_label
_atom_site_type_symbol
_atom_site_fract_x
_atom_site_fract_y
_atom_site_fract_z
_atom_site_occupancy
Mn1 Mn 0.000 0.000 0.000 1
Mo1 Mo 0.000 0.000 0.500 1
P1 P 0.500 0.500 0.237 1
```

Electronic total energy   -7.953 eV per atom
Total magnetization   0.0 μB per formula unit
ΔH_f (0 K)   -0.248 eV/atom
Crystal system   tetragonal

=====

Record 2
Compound: MnMoP2
Source: Alexandria
Functional: GGA-PBE
Structure: relaxed

```
data_MnMoP2
_cell_length_a 3.150
_cell_length_b 3.150
_cell_length_c 5.257
_cell_angle_alpha 90.00
_cell_angle_beta 90.00
_cell_angle_gamma 90.00
_symmetry_space_group_name_H-M 'P 4 m m'
_symmetry_Int_Tables_number 99
_symmetry_space_group_name_Hall 'P 4 -2'
loop_
_atom_site_label
_atom_site_type_symbol
_atom_site_fract_x
_atom_site_fract_y
_atom_site_fract_z
_atom_site_occupancy
Mn1 Mn 0.000 0.000 0.000 1
Mo1 Mo 0.500 0.500 0.352 1
P1 P 0.000 0.000 0.546 1
P2 P 0.500 0.500 0.848 1
```

Electronic total energy   -8.101 eV per atom
Total magnetization   1.9 μB per formula unit
ΔH_f (0 K)   -0.396 eV/atom
Crystal system   tetragonal

=====

Record 3
Compound: PaMnMoP2
Source: Alexandria
Functional: GGA-PBE
Structure: relaxed

```
data_PaMnMoP2
_cell_length_a 4.055
_cell_length_b 4.055
_cell_length_c 9.641
_cell_angle_alpha 90.00
_cell_angle_beta 90.00
_cell_angle_gamma 90.00
_symmetry_space_group_name_H-M 'I -4 m 2'
_symmetry_Int_Tables_number 119
_symmetry_space_group_name_Hall 'I -4 -2'
loop_
_atom_site_label
_atom_site_type_symbol
_atom_site_fract_x
_atom_site_fract_y
_atom_site_fract_z
_atom_site_occupancy
Pa1 Pa 0.000 0.000 0.000 1
Mn1 Mn 0.000 0.500 0.750 1
Mo1 Mo 0.000 0.500 0.250 1
P1 P 0.000 0.000 0.373 1
```

Electronic total energy   -8.740 eV per atom
Total magnetization   1.0 μB per formula unit
ΔH_f (0 K)   -0.677 eV/atom
Crystal system   tetragonal

=====

Record 4
Compound: RbMn2MoP
Source: Alexandria
Functional: GGA-PBE
Structure: relaxed

```
data_RbMn2MoP
_cell_length_a 5.058
_cell_length_b 5.058
_cell_length_c 4.744
_cell_angle_alpha 90.00
_cell_angle_beta 90.00
_cell_angle_gamma 90.00
_symmetry_space_group_name_H-M 'P 4/m m m'
_symmetry_Int_Tables_number 123
_symmetry_space_group_name_Hall '-P 4 2'
loop_
_atom_site_label
_atom_site_type_symbol
_atom_site_fract_x
_atom_site_fract_y
_atom_site_fract_z
_atom_site_occupancy
Rb1 Rb 0.000 0.000 0.000 1
Mn1 Mn 0.000 0.500 0.500 1
Mo1 Mo 0.500 0.500 0.500 1
P1 P 0.500 0.500 0.000 1
```

Electronic total energy   -6.452 eV per atom
Total magnetization   7.8 μB per formula unit
ΔH_f (0 K)   0.657 eV/atom
Crystal system   tetragonal

=====

Record 5
Compound: MnMoPRh
Source: Alexandria
Functional: GGA-PBE
Structure: relaxed

```
data_MnMoPRh
_cell_length_a 5.984
_cell_length_b 5.984
_cell_length_c 5.984
_cell_angle_alpha 90.00
_cell_angle_beta 90.00
_cell_angle_gamma 90.00
_symmetry_space_group_name_H-M 'F -4 3 m'
_symmetry_Int_Tables_number 216
_symmetry_space_group_name_Hall 'F -4 2 3'
loop_
_atom_site_label
_atom_site_type_symbol
_atom_site_fract_x
_atom_site_fract_y
_atom_site_fract_z
_atom_site_occupancy
Mn1 Mn 0.000 0.000 0.000 1
Mo1 Mo 0.250 0.250 0.250 1
P1 P 0.000 0.000 0.500 1
Rh1 Rh 0.250 0.250 0.750 1
```

Electronic total energy   -8.444 eV per atom
Total magnetization   3.0 μB per formula unit
ΔH_f (0 K)   -0.254 eV/atom
Crystal system   cubic

=====

Record 6
Compound: MnMoP2S
Source: Alexandria
Functional: GGA-PBE
Structure: relaxed

```
data_MnMoP2S
_cell_length_a 4.719
_cell_length_b 4.719
_cell_length_c 4.541
_cell_angle_alpha 90.00
_cell_angle_beta 90.00
_cell_angle_gamma 90.00
_symmetry_space_group_name_H-M 'P 4/m m m'
_symmetry_Int_Tables_number 123
_symmetry_space_group_name_Hall '-P 4 2'
loop_
_atom_site_label
_atom_site_type_symbol
_atom_site_fract_x
_atom_site_fract_y
_atom_site_fract_z
_atom_site_occupancy
Mn1 Mn 0.000 0.000 0.000 1
Mo1 Mo 0.500 0.500 0.500 1
P1 P 0.000 0.500 0.500 1
S1 S 0.500 0.500 0.000 1
```

Electronic total energy   -5.884 eV per atom
Total magnetization   0.1 μB per formula unit
Crystal system   tetragonal
Formation energy without anion corrections   1.105 eV per atom
Relative energy among the computed polymorphs   379 meV per atom

=====

Record 7
Compound: MnMoP2S
Source: Alexandria
Functional: GGA-PBE
Structure: relaxed

```
data_MnMoP2S
_cell_length_a 4.321
_cell_length_b 4.321
_cell_length_c 4.692
_cell_angle_alpha 90.00
_cell_angle_beta 90.00
_cell_angle_gamma 90.00
_symmetry_space_group_name_H-M 'P 4/m m m'
_symmetry_Int_Tables_number 123
_symmetry_space_group_name_Hall '-P 4 2'
loop_
_atom_site_label
_atom_site_type_symbol
_atom_site_fract_x
_atom_site_fract_y
_atom_site_fract_z
_atom_site_occupancy
Mn1 Mn 0.000 0.000 0.000 1
Mo1 Mo 0.500 0.500 0.500 1
P1 P 0.000 0.500 0.000 1
S1 S 0.000 0.000 0.500 1
```

Electronic total energy   -6.263 eV per atom
Total magnetization   5.0 μB per formula unit
Crystal system   tetragonal
Formation energy without anion corrections   0.726 eV per atom
Relative energy among the computed polymorphs   0 meV per atom

=====

Record 8
Compound: SrMnMoP2
Source: Alexandria
Functional: GGA-PBE
Structure: relaxed

```
data_SrMnMoP2
_cell_length_a 3.954
_cell_length_b 3.954
_cell_length_c 12.205
_cell_angle_alpha 90.00
_cell_angle_beta 90.00
_cell_angle_gamma 90.00
_symmetry_space_group_name_H-M 'I -4 m 2'
_symmetry_Int_Tables_number 119
_symmetry_space_group_name_Hall 'I -4 -2'
loop_
_atom_site_label
_atom_site_type_symbol
_atom_site_fract_x
_atom_site_fract_y
_atom_site_fract_z
_atom_site_occupancy
Sr1 Sr 0.000 0.000 0.000 1
Mn1 Mn 0.000 0.500 0.750 1
Mo1 Mo 0.000 0.500 0.250 1
P1 P 0.000 0.000 0.361 1
```

Electronic total energy   -7.198 eV per atom
Total magnetization   2.8 μB per formula unit
ΔH_f (0 K)   -0.697 eV/atom
Crystal system   tetragonal

=====

Record 9
Compound: UMnMoP2
Source: Alexandria
Functional: GGA-PBE
Structure: relaxed

```
data_UMnMoP2
_cell_length_a 4.008
_cell_length_b 4.008
_cell_length_c 9.829
_cell_angle_alpha 90.00
_cell_angle_beta 90.00
_cell_angle_gamma 90.00
_symmetry_space_group_name_H-M 'I -4 m 2'
_symmetry_Int_Tables_number 119
_symmetry_space_group_name_Hall 'I -4 -2'
loop_
_atom_site_label
_atom_site_type_symbol
_atom_site_fract_x
_atom_site_fract_y
_atom_site_fract_z
_atom_site_occupancy
U1 U 0.000 0.000 0.000 1
Mn1 Mn 0.000 0.500 0.250 1
Mo1 Mo 0.000 0.500 0.750 1
P1 P 0.000 0.000 0.379 1
```

Electronic total energy   -8.990 eV per atom
Total magnetization   0.2 μB per formula unit
ΔH_f (0 K)   -0.568 eV/atom
Crystal system   tetragonal

=====

Record 10
Compound: Y2MnMoP
Source: Alexandria
Functional: GGA-PBE
Structure: relaxed

```
data_Y2MnMoP
_cell_length_a 5.379
_cell_length_b 5.379
_cell_length_c 4.607
_cell_angle_alpha 90.00
_cell_angle_beta 90.00
_cell_angle_gamma 90.00
_symmetry_space_group_name_H-M 'P 4/m m m'
_symmetry_Int_Tables_number 123
_symmetry_space_group_name_Hall '-P 4 2'
loop_
_atom_site_label
_atom_site_type_symbol
_atom_site_fract_x
_atom_site_fract_y
_atom_site_fract_z
_atom_site_occupancy
Y1 Y 0.000 0.500 0.000 1
Mn1 Mn 0.000 0.000 0.500 1
Mo1 Mo 0.500 0.500 0.000 1
P1 P 0.500 0.500 0.500 1
```

Electronic total energy   -7.203 eV per atom
Total magnetization   4.4 μB per formula unit
ΔH_f (0 K)   0.465 eV/atom
Crystal system   tetragonal

=====

Record 11
Compound: Mn2ZnMoP
Source: Alexandria
Functional: GGA-PBE
Structure: relaxed

```
data_Mn2ZnMoP
_cell_length_a 4.497
_cell_length_b 4.497
_cell_length_c 4.714
_cell_angle_alpha 90.00
_cell_angle_beta 90.00
_cell_angle_gamma 90.00
_symmetry_space_group_name_H-M 'P 4/m m m'
_symmetry_Int_Tables_number 123
_symmetry_space_group_name_Hall '-P 4 2'
loop_
_atom_site_label
_atom_site_type_symbol
_atom_site_fract_x
_atom_site_fract_y
_atom_site_fract_z
_atom_site_occupancy
Mn1 Mn 0.000 0.500 0.000 1
Zn1 Zn 0.000 0.000 0.000 1
Mo1 Mo 0.000 0.000 0.500 1
P1 P 0.500 0.500 0.500 1
```

Electronic total energy   -5.903 eV per atom
Total magnetization   6.1 μB per formula unit
ΔH_f (0 K)   1.268 eV/atom
Crystal system   tetragonal

=====

Record 12
Compound: PaMn2Mo
Source: Alexandria
Functional: GGA-PBE
Structure: relaxed

```
data_PaMn2Mo
_cell_length_a 2.969
_cell_length_b 2.969
_cell_length_c 7.109
_cell_angle_alpha 90.00
_cell_angle_beta 90.00
_cell_angle_gamma 90.00
_symmetry_space_group_name_H-M 'P 4/m m m'
_symmetry_Int_Tables_number 123
_symmetry_space_group_name_Hall '-P 4 2'
loop_
_atom_site_label
_atom_site_type_symbol
_atom_site_fract_x
_atom_site_fract_y
_atom_site_fract_z
_atom_site_occupancy
Pa1 Pa 0.000 0.000 0.000 1
Mn1 Mn 0.500 0.500 0.297 1
Mo1 Mo 0.000 0.000 0.500 1
```

Electronic total energy   -9.565 eV per atom
Total magnetization   1.0 μB per formula unit
ΔH_f (0 K)   0.102 eV/atom
Crystal system   tetragonal
Relative energy among the computed polymorphs   0 meV per atom

=====

Record 13
Compound: PaMn2Mo
Source: Alexandria
Functional: GGA-PBE
Structure: relaxed

```
data_PaMn2Mo
_cell_length_a 2.9435
_cell_length_b 2.9435
_cell_length_c 26.6528
_cell_angle_alpha 90.00
_cell_angle_beta 90.00
_cell_angle_gamma 120.00
_symmetry_space_group_name_H-M 'R -3 m'
_symmetry_Int_Tables_number 166
_symmetry_space_group_name_Hall '-R 3 2"'
loop_
_atom_site_label
_atom_site_type_symbol
_atom_site_fract_x
_atom_site_fract_y
_atom_site_fract_z
_atom_site_occupancy
Pa1 Pa 0.0000 0.0000 0.0000 1
Mn1 Mn 0.0000 0.0000 0.2387 1
Mo1 Mo 0.0000 0.0000 0.5000 1
```

Electronic total energy   -9.238 eV per atom
Total magnetization   3.5 μB per formula unit
ΔH_f (0 K)   0.429 eV/atom
Crystal system   trigonal
Relative energy among the computed polymorphs   327 meV per atom

=====

Record 14
Compound: PaMnMo2
Source: Alexandria
Functional: GGA-PBE
Structure: relaxed

```
data_PaMnMo2
_cell_length_a 2.9297
_cell_length_b 2.9297
_cell_length_c 28.0305
_cell_angle_alpha 90.00
_cell_angle_beta 90.00
_cell_angle_gamma 120.00
_symmetry_space_group_name_H-M 'R -3 m'
_symmetry_Int_Tables_number 166
_symmetry_space_group_name_Hall '-R 3 2"'
loop_
_atom_site_label
_atom_site_type_symbol
_atom_site_fract_x
_atom_site_fract_y
_atom_site_fract_z
_atom_site_occupancy
Pa1 Pa 0.0000 0.0000 0.0000 1
Mn1 Mn 0.0000 0.0000 0.5000 1
Mo1 Mo 0.0000 0.0000 0.0964 1
```

Electronic total energy   -9.503 eV per atom
Total magnetization   1.4 μB per formula unit
ΔH_f (0 K)   0.578 eV/atom
Crystal system   trigonal

=====

Record 15
Compound: PaMnSbMo
Source: Alexandria
Functional: GGA-PBE
Structure: relaxed

```
data_PaMnSbMo
_cell_length_a 6.651
_cell_length_b 6.651
_cell_length_c 6.651
_cell_angle_alpha 90.00
_cell_angle_beta 90.00
_cell_angle_gamma 90.00
_symmetry_space_group_name_H-M 'F -4 3 m'
_symmetry_Int_Tables_number 216
_symmetry_space_group_name_Hall 'F -4 2 3'
loop_
_atom_site_label
_atom_site_type_symbol
_atom_site_fract_x
_atom_site_fract_y
_atom_site_fract_z
_atom_site_occupancy
Pa1 Pa 0.000 0.000 0.000 1
Mn1 Mn 0.250 0.250 0.250 1
Sb1 Sb 0.000 0.000 0.500 1
Mo1 Mo 0.250 0.250 0.750 1
```

Electronic total energy   -8.329 eV per atom
Total magnetization   0.9 μB per formula unit
Crystal system   cubic
Formation energy without anion corrections   0.076 eV per atom

=====

Record 16
Compound: PaMnSi2Mo
Source: Alexandria
Functional: GGA-PBE
Structure: relaxed

```
data_PaMnSi2Mo
_cell_length_a 3.976
_cell_length_b 3.976
_cell_length_c 10.678
_cell_angle_alpha 90.00
_cell_angle_beta 90.00
_cell_angle_gamma 90.00
_symmetry_space_group_name_H-M 'I -4 m 2'
_symmetry_Int_Tables_number 119
_symmetry_space_group_name_Hall 'I -4 -2'
loop_
_atom_site_label
_atom_site_type_symbol
_atom_site_fract_x
_atom_site_fract_y
_atom_site_fract_z
_atom_site_occupancy
Pa1 Pa 0.000 0.000 0.000 1
Mn1 Mn 0.000 0.500 0.750 1
Si1 Si 0.000 0.000 0.388 1
Mo1 Mo 0.000 0.500 0.250 1
```

Electronic total energy   -8.509 eV per atom
Total magnetization   2.8 μB per formula unit
Crystal system   tetragonal
Formation energy without anion corrections   -0.440 eV per atom

=====

Record 17
Compound: PaMnSnMo
Source: Alexandria
Functional: GGA-PBE
Structure: relaxed

```
data_PaMnSnMo
_cell_length_a 6.676
_cell_length_b 6.676
_cell_length_c 6.676
_cell_angle_alpha 90.00
_cell_angle_beta 90.00
_cell_angle_gamma 90.00
_symmetry_space_group_name_H-M 'F -4 3 m'
_symmetry_Int_Tables_number 216
_symmetry_space_group_name_Hall 'F -4 2 3'
loop_
_atom_site_label
_atom_site_type_symbol
_atom_site_fract_x
_atom_site_fract_y
_atom_site_fract_z
_atom_site_occupancy
Pa1 Pa 0.000 0.000 0.000 1
Mn1 Mn 0.250 0.250 0.250 1
Sn1 Sn 0.000 0.000 0.500 1
Mo1 Mo 0.250 0.250 0.750 1
```

Electronic total energy   -8.325 eV per atom
Total magnetization   2.0 μB per formula unit
ΔH_f (0 K)   0.050 eV/atom
Crystal system   cubic

=====

Record 18
Compound: PaMnTcMo
Source: Alexandria
Functional: GGA-PBE
Structure: relaxed

```
data_PaMnTcMo
_cell_length_a 6.477
_cell_length_b 6.477
_cell_length_c 6.477
_cell_angle_alpha 90.00
_cell_angle_beta 90.00
_cell_angle_gamma 90.00
_symmetry_space_group_name_H-M 'F -4 3 m'
_symmetry_Int_Tables_number 216
_symmetry_space_group_name_Hall 'F -4 2 3'
loop_
_atom_site_label
_atom_site_type_symbol
_atom_site_fract_x
_atom_site_fract_y
_atom_site_fract_z
_atom_site_occupancy
Pa1 Pa 0.000 0.000 0.000 1
Mn1 Mn 0.000 0.000 0.500 1
Tc1 Tc 0.250 0.250 0.750 1
Mo1 Mo 0.250 0.250 0.250 1
```

Electronic total energy   -9.883 eV per atom
Total magnetization   2.8 μB per formula unit
ΔH_f (0 K)   0.083 eV/atom
Crystal system   cubic

=====

Record 19
Compound: PaTiMnMo
Source: Alexandria
Functional: GGA-PBE
Structure: relaxed

```
data_PaTiMnMo
_cell_length_a 6.473
_cell_length_b 6.473
_cell_length_c 6.473
_cell_angle_alpha 90.00
_cell_angle_beta 90.00
_cell_angle_gamma 90.00
_symmetry_space_group_name_H-M 'F -4 3 m'
_symmetry_Int_Tables_number 216
_symmetry_space_group_name_Hall 'F -4 2 3'
loop_
_atom_site_label
_atom_site_type_symbol
_atom_site_fract_x
_atom_site_fract_y
_atom_site_fract_z
_atom_site_occupancy
Pa1 Pa 0.000 0.000 0.000 1
Ti1 Ti 0.000 0.000 0.500 1
Mn1 Mn 0.250 0.250 0.750 1
Mo1 Mo 0.250 0.250 0.250 1
```

Electronic total energy   -9.392 eV per atom
Total magnetization   0.6 μB per formula unit
ΔH_f (0 K)   -0.045 eV/atom
Crystal system   cubic

=====

Record 20
Compound: PaMnVMo
Source: Alexandria
Functional: GGA-PBE
Structure: relaxed

```
data_PaMnVMo
_cell_length_a 6.395
_cell_length_b 6.395
_cell_length_c 6.395
_cell_angle_alpha 90.00
_cell_angle_beta 90.00
_cell_angle_gamma 90.00
_symmetry_space_group_name_H-M 'F -4 3 m'
_symmetry_Int_Tables_number 216
_symmetry_space_group_name_Hall 'F -4 2 3'
loop_
_atom_site_label
_atom_site_type_symbol
_atom_site_fract_x
_atom_site_fract_y
_atom_site_fract_z
_atom_site_occupancy
Pa1 Pa 0.000 0.000 0.000 1
Mn1 Mn 0.250 0.250 0.250 1
V1 V 0.000 0.000 0.500 1
Mo1 Mo 0.250 0.250 0.750 1
```

Electronic total energy   -9.581 eV per atom
Total magnetization   0.3 μB per formula unit
ΔH_f (0 K)   0.072 eV/atom
Crystal system   cubic